# 1
ScCd2Tc | PBEsol | optimized geometry

Output
Density of states at the Fermi level = 3.0 states/eV per cell
DFT formation energy = 88 meV/atom
Energy = -4.98 eV per atom
V = 71.9 Å³ per cell
Magnetization = 0.156 μB per atom

The structure in CIF format:
```
data_ScCd2Tc
_chemical_formula_sum 'Sc1 Cd2 Tc1'
_cell_length_a 5.142
_cell_length_b 5.142
_cell_length_c 5.142
_cell_angle_alpha 132.77
_cell_angle_beta 132.77
_cell_angle_gamma 69.01
_symmetry_space_group_name_H-M 'P 1'
_symmetry_Int_Tables_number 1
loop_
_symmetry_equiv_pos_as_xyz
'x,y,z'
loop_
_atom_site_label
_atom_site_type_symbol
_atom_site_fract_x
_atom_site_fract_y
_atom_site_fract_z
_atom_site_occupancy
Sc1 Sc 0.000 0.000 0.000 1
Cd1 Cd 0.250 0.750 0.500 1
Cd2 Cd 0.500 0.500 0.000 1
Tc1 Tc 0.750 0.250 0.500 1
```

=====

# 2
ScCdTe | PBEsol | optimized geometry

Output
Density of states at the Fermi level = 4.1 states/eV per cell
Energy = -4.09 eV per atom
ΔE_f (raw) = -0.319 eV per atom
V = 80.2 Å³ per cell
Magnetization = 0.006 μB per atom

The structure in CIF format:
```
data_ScCdTe
_chemical_formula_sum 'Sc1 Cd1 Te1'
_cell_length_a 4.840
_cell_length_b 4.840
_cell_length_c 4.840
_cell_angle_alpha 60.00
_cell_angle_beta 60.00
_cell_angle_gamma 60.00
_symmetry_space_group_name_H-M 'P 1'
_symmetry_Int_Tables_number 1
loop_
_symmetry_equiv_pos_as_xyz
'x,y,z'
loop_
_atom_site_label
_atom_site_type_symbol
_atom_site_fract_x
_atom_site_fract_y
_atom_site_fract_z
_atom_site_occupancy
Sc1 Sc 0.000 0.000 0.000 1
Cd1 Cd 0.750 0.750 0.750 1
Te1 Te 0.250 0.250 0.250 1
```

=====

# 3
Sc2TlCd | PBEsol | optimized geometry

Output
Density of states at the Fermi level = 4.0 states/eV per cell
DFT formation energy = -254 meV/atom
Energy = -4.51 eV per atom
V = 88.0 Å³ per cell
Magnetization = 0.000 μB per atom

The structure in CIF format:
```
data_Sc2TlCd
_chemical_formula_sum 'Sc2 Tl1 Cd1'
_cell_length_a 5.979
_cell_length_b 5.979
_cell_length_c 4.885
_cell_angle_alpha 113.97
_cell_angle_beta 113.97
_cell_angle_gamma 33.84
_symmetry_space_group_name_H-M 'P 1'
_symmetry_Int_Tables_number 1
loop_
_symmetry_equiv_pos_as_xyz
'x,y,z'
loop_
_atom_site_label
_atom_site_type_symbol
_atom_site_fract_x
_atom_site_fract_y
_atom_site_fract_z
_atom_site_occupancy
Sc1 Sc 0.000 0.000 0.000 1
Sc2 Sc 0.242 0.242 0.739 1
Tl1 Tl 0.482 0.482 0.482 1
Cd1 Cd 0.750 0.750 0.246 1
```

=====

# 4
Sc2TlCd2 | PBEsol | optimized geometry

Output
Density of states at the Fermi level = 5.9 states/eV per cell
DFT formation energy = 47 meV/atom
Energy = -3.60 eV per atom
V = 119.8 Å³ per cell
Magnetization = 0.132 μB per atom

The structure in CIF format:
```
data_Sc2TlCd2
_chemical_formula_sum 'Sc2 Tl1 Cd2'
_cell_length_a 8.388
_cell_length_b 8.388
_cell_length_c 8.388
_cell_angle_alpha 153.20
_cell_angle_beta 153.20
_cell_angle_gamma 38.27
_symmetry_space_group_name_H-M 'P 1'
_symmetry_Int_Tables_number 1
loop_
_symmetry_equiv_pos_as_xyz
'x,y,z'
loop_
_atom_site_label
_atom_site_type_symbol
_atom_site_fract_x
_atom_site_fract_y
_atom_site_fract_z
_atom_site_occupancy
Sc1 Sc 0.095 0.095 0.000 1
Sc2 Sc 0.905 0.905 0.000 1
Tl1 Tl 0.500 0.500 0.000 1
Cd1 Cd 0.250 0.750 0.500 1
Cd2 Cd 0.750 0.250 0.500 1
```

=====

# 5
Sc2TlCd | PBEsol | optimized geometry

Output
Density of states at the Fermi level = 4.5 states/eV per cell
DFT formation energy = -360 meV/atom
Energy = -4.62 eV per atom
V = 86.1 Å³ per cell
Magnetization = 0.051 μB per atom

The structure in CIF format:
```
data_Sc2TlCd
_chemical_formula_sum 'Sc2 Tl1 Cd1'
_cell_length_a 4.957
_cell_length_b 4.957
_cell_length_c 4.957
_cell_angle_alpha 60.00
_cell_angle_beta 60.00
_cell_angle_gamma 60.00
_symmetry_space_group_name_H-M 'P 1'
_symmetry_Int_Tables_number 1
loop_
_symmetry_equiv_pos_as_xyz
'x,y,z'
loop_
_atom_site_label
_atom_site_type_symbol
_atom_site_fract_x
_atom_site_fract_y
_atom_site_fract_z
_atom_site_occupancy
Sc1 Sc 0.250 0.250 0.250 1
Sc2 Sc 0.750 0.750 0.750 1
Tl1 Tl 0.000 0.000 0.000 1
Cd1 Cd 0.500 0.500 0.500 1
```

=====

# 6
Sc2Tl2Cd | PBEsol | optimized geometry

Output
Density of states at the Fermi level = 6.7 states/eV per cell
DFT formation energy = -230 meV/atom
Energy = -4.16 eV per atom
V = 228.6 Å³ per cell
Magnetization = 0.000 μB per atom

The structure in CIF format:
```
data_Sc2Tl2Cd
_chemical_formula_sum 'Sc4 Tl4 Cd2'
_cell_length_a 7.518
_cell_length_b 7.518
_cell_length_c 4.043
_cell_angle_alpha 90.00
_cell_angle_beta 90.00
_cell_angle_gamma 90.00
_symmetry_space_group_name_H-M 'P 1'
_symmetry_Int_Tables_number 1
loop_
_symmetry_equiv_pos_as_xyz
'x,y,z'
loop_
_atom_site_label
_atom_site_type_symbol
_atom_site_fract_x
_atom_site_fract_y
_atom_site_fract_z
_atom_site_occupancy
Sc1 Sc 0.167 0.333 0.000 1
Sc2 Sc 0.333 0.833 0.000 1
Sc3 Sc 0.667 0.167 0.000 1
Sc4 Sc 0.833 0.667 0.000 1
Tl1 Tl 0.137 0.637 0.500 1
Tl2 Tl 0.363 0.137 0.500 1
Tl3 Tl 0.637 0.863 0.500 1
Tl4 Tl 0.863 0.363 0.500 1
Cd1 Cd 0.000 0.000 0.500 1
Cd2 Cd 0.500 0.500 0.500 1
```

=====

# 7
ScTlCd4 | PBEsol | optimized geometry

Output
Density of states at the Fermi level = 3.4 states/eV per cell
DFT formation energy = -14 meV/atom
Energy = -2.35 eV per atom
V = 134.3 Å³ per cell
Magnetization = 0.000 μB per atom

The structure in CIF format:
```
data_ScTlCd4
_chemical_formula_sum 'Sc1 Tl1 Cd4'
_cell_length_a 5.749
_cell_length_b 5.749
_cell_length_c 5.749
_cell_angle_alpha 60.00
_cell_angle_beta 60.00
_cell_angle_gamma 60.00
_symmetry_space_group_name_H-M 'P 1'
_symmetry_Int_Tables_number 1
loop_
_symmetry_equiv_pos_as_xyz
'x,y,z'
loop_
_atom_site_label
_atom_site_type_symbol
_atom_site_fract_x
_atom_site_fract_y
_atom_site_fract_z
_atom_site_occupancy
Sc1 Sc 0.000 0.000 0.000 1
Tl1 Tl 0.750 0.750 0.750 1
Cd1 Cd 0.374 0.374 0.374 1
Cd2 Cd 0.374 0.374 0.877 1
Cd3 Cd 0.374 0.877 0.374 1
Cd4 Cd 0.877 0.374 0.374 1
```

=====

# 8
Sc2TlCd | PBEsol | optimized geometry

Output
Density of states at the Fermi level = 4.4 states/eV per cell
DFT formation energy = -356 meV/atom
Energy = -4.62 eV per atom
V = 86.2 Å³ per cell
Magnetization = 0.001 μB per atom

The structure in CIF format:
```
data_Sc2TlCd
_chemical_formula_sum 'Sc2 Tl1 Cd1'
_cell_length_a 4.939
_cell_length_b 4.939
_cell_length_c 3.535
_cell_angle_alpha 90.00
_cell_angle_beta 90.00
_cell_angle_gamma 90.00
_symmetry_space_group_name_H-M 'P 1'
_symmetry_Int_Tables_number 1
loop_
_symmetry_equiv_pos_as_xyz
'x,y,z'
loop_
_atom_site_label
_atom_site_type_symbol
_atom_site_fract_x
_atom_site_fract_y
_atom_site_fract_z
_atom_site_occupancy
Sc1 Sc 0.000 0.500 0.000 1
Sc2 Sc 0.500 0.000 0.000 1
Tl1 Tl 0.000 0.000 0.500 1
Cd1 Cd 0.500 0.500 0.500 1
```

=====

# 9
Sc2TlCd | PBEsol | optimized geometry

Output
Density of states at the Fermi level = 4.2 states/eV per cell
DFT formation energy = -354 meV/atom
Energy = -4.61 eV per atom
V = 86.3 Å³ per cell
Magnetization = 0.006 μB per atom

The structure in CIF format:
```
data_Sc2TlCd
_chemical_formula_sum 'Sc2 Tl1 Cd1'
_cell_length_a 3.514
_cell_length_b 3.524
_cell_length_c 6.967
_cell_angle_alpha 90.00
_cell_angle_beta 90.00
_cell_angle_gamma 90.00
_symmetry_space_group_name_H-M 'P 1'
_symmetry_Int_Tables_number 1
loop_
_symmetry_equiv_pos_as_xyz
'x,y,z'
loop_
_atom_site_label
_atom_site_type_symbol
_atom_site_fract_x
_atom_site_fract_y
_atom_site_fract_z
_atom_site_occupancy
Sc1 Sc 0.000 0.000 0.244 1
Sc2 Sc 0.000 0.000 0.756 1
Tl1 Tl 0.500 0.500 0.500 1
Cd1 Cd 0.500 0.500 0.000 1
```

=====

# 10
ScCdW2 | PBEsol | optimized geometry

Output
Density of states at the Fermi level = 2.7 states/eV per cell
DFT formation energy = 425 meV/atom
Energy = -8.43 eV per atom
V = 70.0 Å³ per cell
Magnetization = 0.000 μB per atom

The structure in CIF format:
```
data_ScCdW2
_chemical_formula_sum 'Sc1 Cd1 W2'
_cell_length_a 5.206
_cell_length_b 5.206
_cell_length_c 4.837
_cell_angle_alpha 99.99
_cell_angle_beta 99.99
_cell_angle_gamma 32.87
_symmetry_space_group_name_H-M 'P 1'
_symmetry_Int_Tables_number 1
loop_
_symmetry_equiv_pos_as_xyz
'x,y,z'
loop_
_atom_site_label
_atom_site_type_symbol
_atom_site_fract_x
_atom_site_fract_y
_atom_site_fract_z
_atom_site_occupancy
Sc1 Sc 0.000 0.000 0.000 1
Cd1 Cd 0.500 0.500 0.500 1
W1 W 0.246 0.246 0.754 1
W2 W 0.754 0.754 0.246 1
```

=====

- Which value of magnetization does entry 1 give?
  0.156 μB per atom

=====

- The lowest density of states at the Fermi level belongs to which entry?
  ScCdW2

=====

- The highest energy belongs to which entry?
  ScTlCd4

=====

- The highest energy belongs to which entry?
  ScTlCd4